# meta-GGA SCAN Rb2PH3SeO8, single point on PBEsol structure
data_Rb2PH3SeO8
_chemical_formula_sum 'Rb4 P2 H6 Se2 O16'
_symmetry_space_group_name_H-M 'P 1 c 1'
_symmetry_Int_Tables_number 7
_symmetry_space_group_name_Hall 'P -2yc'
_cell_length_a 7.446
_cell_length_b 7.659
_cell_length_c 9.770
_cell_angle_alpha 90.00
_cell_angle_beta 128.49
_cell_angle_gamma 90.00
loop_
_atom_site_label
_atom_site_fract_x
_atom_site_fract_y
_atom_site_fract_z
Rb1 0.000 0.053 0.000
Rb2 0.211 0.439 0.422
P1 0.451 0.048 0.961
H1 0.480 0.269 0.823
H2 0.577 0.238 0.183
H3 0.705 0.176 0.595
Se1 0.742 0.446 0.454
O1 0.256 0.079 0.379
O2 0.429 0.203 0.056
O3 0.455 0.133 0.816
O4 0.488 0.458 0.807
O5 0.693 0.036 0.601
O6 0.741 0.356 0.610
O7 0.777 0.286 0.355
O8 0.955 0.414 0.043
# electronic total energy: -10.45 eV per atom

=====

# meta-GGA SCAN Rb2PH3SeO8, single point on PBEsol structure
data_Rb2PH3SeO8
_chemical_formula_sum 'Rb4 P2 H6 Se2 O16'
_symmetry_space_group_name_H-M 'P -1'
_symmetry_Int_Tables_number 2
_symmetry_space_group_name_Hall '-P 1'
_cell_length_a 7.482
_cell_length_b 7.677
_cell_length_c 7.743
_cell_angle_alpha 90.50
_cell_angle_beta 99.72
_cell_angle_gamma 90.29
loop_
_atom_site_label
_atom_site_fract_x
_atom_site_fract_y
_atom_site_fract_z
Rb1 0.091 0.307 0.201
Rb2 0.384 0.801 0.293
P1 0.096 0.200 0.740
H1 0.000 0.000 0.500
H2 0.221 0.417 0.613
H3 0.267 0.994 0.890
H4 0.500 0.500 0.000
Se1 0.402 0.703 0.760
O1 0.010 0.958 0.352
O2 0.016 0.669 0.181
O3 0.204 0.283 0.602
O4 0.246 0.126 0.893
O5 0.248 0.612 0.604
O6 0.299 0.797 0.911
O7 0.465 0.460 0.142
O8 0.468 0.163 0.327
# electronic total energy: -10.45 eV per atom

=====

# meta-GGA SCAN RbSrP3H6O12, single point on PBEsol structure
data_RbSrP3H6O12
_chemical_formula_sum 'Rb4 Sr4 P12 H24 O48'
_symmetry_space_group_name_H-M 'P n m a'
_symmetry_Int_Tables_number 62
_symmetry_space_group_name_Hall '-P 2ac 2n'
_cell_length_a 9.118
_cell_length_b 8.062
_cell_length_c 15.190
_cell_angle_alpha 90.00
_cell_angle_beta 90.00
_cell_angle_gamma 90.00
loop_
_atom_site_label
_atom_site_fract_x
_atom_site_fract_y
_atom_site_fract_z
Rb1 0.098 0.250 0.192
Sr1 0.090 0.750 0.478
P1 0.008 0.250 0.935
P2 0.176 0.072 0.806
H1 0.125 0.008 0.631
H2 0.139 0.147 0.385
H3 0.217 0.102 0.557
O1 0.031 0.095 0.866
O2 0.079 0.250 0.394
O3 0.125 0.036 0.567
O4 0.128 0.250 0.002
O5 0.144 0.555 0.737
O6 0.150 0.750 0.039
O7 0.185 0.250 0.757
O8 0.192 0.550 0.364
# electronic total energy: -9.43 eV per atom